# Pr2HoEr12

Pr2HoEr12 after structural relaxation (GGA-PBE, Alexandria via LeMat-Bulk).

Lattice parameters (Å, degrees): 3.561 5.577 24.015 90.00 94.21 90.00
Space group P2/m (No. 10)
Symmetry-distinct sites (fractional):
Pr 0.143 0.000 0.279 (multiplicity 2)
Ho 0.500 0.000 0.000 (multiplicity 1)
Er 0.033 0.500 0.066 (multiplicity 2)
Er 0.068 0.000 0.133 (multiplicity 2)
Er 0.223 0.500 0.445 (multiplicity 2)
Er 0.284 0.000 0.570 (multiplicity 2)
Er 0.332 0.500 0.670 (multiplicity 2)
Er 0.404 0.500 0.809 (multiplicity 2)

Output
DOS(E_F) = 1.687 states/eV/atom
Calculated formation energy = 0.103 eV/atom
Calculated volume = 475.6 Å³ per cell
Crystal system = monoclinic

***

# Pr7Ho12Er

Pr7Ho12Er after structural relaxation (GGA-PBE, Alexandria via LeMat-Bulk).

Lattice parameters (Å, degrees): 11.326 11.326 11.326 90.00 90.00 90.00
Space group Im-3 (No. 204)
Symmetry-distinct sites (fractional):
Pr 0.000 0.000 0.500 (multiplicity 6)
Pr 0.250 0.250 0.250 (multiplicity 8)
Ho 0.000 0.245 0.244 (multiplicity 24)
Er 0.000 0.000 0.000 (multiplicity 2)

Output
DOS(E_F) = 1.411 states/eV/atom
Calculated formation energy = 0.642 eV/atom
Calculated volume = 1452.8 Å³ per cell
Energy above the most stable polymorph in this dataset = 414.0 meV per atom
Crystal system = cubic

***

# Pr7Ho3Er2

Pr7Ho3Er2 after structural relaxation (GGA-PBE, Alexandria via LeMat-Bulk).

Lattice parameters (Å, degrees): 5.844 38.486 3.643 90.00 90.00 90.00
Space group Cmmm (No. 65)
Symmetry-distinct sites (fractional):
Pr 0.000 0.000 0.000 (multiplicity 2)
Pr 0.000 0.073 0.500 (multiplicity 4)
Pr 0.000 0.233 0.000 (multiplicity 4)
Pr 0.000 0.406 0.000 (multiplicity 4)
Ho 0.000 0.316 0.500 (multiplicity 4)
Ho 0.000 0.500 0.500 (multiplicity 2)
Er 0.000 0.149 0.000 (multiplicity 4)

Output
DOS(E_F) = 1.637 states/eV/atom
Calculated formation energy = 0.119 eV/atom
Calculated volume = 819.4 Å³ per cell
Energy above the most stable polymorph in this dataset = 46.3 meV per atom
Crystal system = orthorhombic

***

# Pr4HoEr5

Pr4HoEr5 after structural relaxation (GGA-PBE, Alexandria via LeMat-Bulk).

Lattice parameters (Å, degrees): 10.728 10.728 5.939 90.00 90.00 90.00
Space group I4mm (No. 107)
Symmetry-distinct sites (fractional):
Pr 0.000 0.323 0.000 (multiplicity 8)
Ho 0.000 0.000 0.242 (multiplicity 2)
Er 0.000 0.000 0.763 (multiplicity 2)
Er 0.188 0.188 0.503 (multiplicity 8)

Output
DOS(E_F) = 1.241 states/eV/atom
Calculated formation energy = 0.233 eV/atom
Calculated volume = 683.5 Å³ per cell
Energy above the most stable polymorph in this dataset = 39.7 meV per atom
Crystal system = tetragonal

***

# Pr3Ho6Er2

Pr3Ho6Er2 after structural relaxation (GGA-PBE, Alexandria via LeMat-Bulk).

Lattice parameters (Å, degrees): 4.758 4.758 33.234 90.00 90.00 90.00
Space group I4/mmm (No. 139)
Symmetry-distinct sites (fractional):
Pr 0.000 0.000 0.000 (multiplicity 2)
Pr 0.000 0.000 0.205 (multiplicity 4)
Ho 0.000 0.000 0.309 (multiplicity 4)
Ho 0.000 0.500 0.120 (multiplicity 8)
Er 0.000 0.000 0.454 (multiplicity 4)

Output
DOS(E_F) = 1.509 states/eV/atom
Calculated formation energy = 0.274 eV/atom
Calculated volume = 752.5 Å³ per cell
Crystal system = tetragonal

***

# PrHo4Er8

PrHo4Er8 after structural relaxation (GGA-PBE, Alexandria via LeMat-Bulk).

Lattice parameters (Å, degrees): 7.2509 7.2509 26.8603 90.00 90.00 120.00
Space group R-3m (No. 166, hexagonal axes)
Symmetry-distinct sites (fractional):
Pr 0.0000 0.0000 0.0000 (multiplicity 3)
Ho 0.0000 0.0000 0.5000 (multiplicity 3)
Ho 0.0000 0.5000 0.5000 (multiplicity 9)
Er 0.0000 0.0000 0.2815 (multiplicity 6)
Er 0.0384 0.5192 0.2683 (multiplicity 18)

Output
DOS(E_F) = 1.157 states/eV/atom
Calculated formation energy = 0.206 eV/atom
Calculated volume = 1223.0 Å³ per cell
Crystal system = trigonal

***

# Pr4Ho3Er8

Pr4Ho3Er8 after structural relaxation (GGA-PBE, Alexandria via LeMat-Bulk).

Lattice parameters (Å, degrees): 6.9404 6.9404 35.4475 90.00 90.00 120.00
Space group R-3m (No. 166, hexagonal axes)
Symmetry-distinct sites (fractional):
Pr 0.0000 0.0000 0.0000 (multiplicity 3)
Pr 0.0000 0.0000 0.1634 (multiplicity 6)
Pr 0.0000 0.0000 0.5000 (multiplicity 3)
Ho 0.0000 0.5000 0.0000 (multiplicity 9)
Er 0.0000 0.0000 0.2556 (multiplicity 6)
Er 0.0020 0.5010 0.2515 (multiplicity 18)

Output
DOS(E_F) = 1.469 states/eV/atom
Calculated formation energy = 0.117 eV/atom
Calculated volume = 1478.7 Å³ per cell
Energy above the most stable polymorph in this dataset = 0.0 meV per atom
Crystal system = trigonal

***

# Pr3HoEr6

Pr3HoEr6 after structural relaxation (GGA-PBE, Alexandria via LeMat-Bulk).

Lattice parameters (Å, degrees): 11.532 6.556 9.719 90.00 115.00 90.00
Space group C2/m (No. 12)
Symmetry-distinct sites (fractional):
Pr 0.000 0.000 0.000 (multiplicity 2)
Pr 0.072 0.000 0.700 (multiplicity 4)
Ho 0.000 0.500 0.500 (multiplicity 2)
Er 0.134 0.500 0.921 (multiplicity 4)
Er 0.185 0.254 0.313 (multiplicity 8)

Output
DOS(E_F) = 1.762 states/eV/atom
Calculated formation energy = 0.227 eV/atom
Calculated volume = 665.9 Å³ per cell
Crystal system = monoclinic

***

# Pr4HoEr4

Pr4HoEr4 after structural relaxation (GGA-PBE, Alexandria via LeMat-Bulk).

Lattice parameters (Å, degrees): 10.820 10.820 5.072 90.00 90.00 90.00
Space group I4/mmm (No. 139)
Symmetry-distinct sites (fractional):
Pr 0.167 0.167 0.000 (multiplicity 8)
Ho 0.000 0.000 0.500 (multiplicity 2)
Er 0.000 0.336 0.500 (multiplicity 8)

Output
DOS(E_F) = 1.470 states/eV/atom
Calculated formation energy = 0.022 eV/atom
Calculated volume = 593.7 Å³ per cell
Energy above the most stable polymorph in this dataset = 0.0 meV per atom
Crystal system = tetragonal

***

# Pr3Ho8Er

Pr3Ho8Er after structural relaxation (GGA-PBE, Alexandria via LeMat-Bulk).

Lattice parameters (Å, degrees): 8.762 8.762 11.322 90.00 90.00 90.00
Space group I-42m (No. 121)
Symmetry-distinct sites (fractional):
Pr 0.000 0.000 0.000 (multiplicity 2)
Pr 0.000 0.500 0.250 (multiplicity 4)
Ho 0.126 0.126 0.744 (multiplicity 8)
Ho 0.243 0.243 0.487 (multiplicity 8)
Er 0.000 0.000 0.500 (multiplicity 2)

Output
DOS(E_F) = 1.499 states/eV/atom
Calculated formation energy = 0.621 eV/atom
Calculated volume = 869.3 Å³ per cell
Crystal system = tetragonal

***

# Pr5HoEr12

Pr5HoEr12 after structural relaxation (GGA-PBE, Alexandria via LeMat-Bulk).

Lattice parameters (Å, degrees): 11.687 17.268 5.736 90.00 90.01 90.00
Space group C2/m (No. 12)
Symmetry-distinct sites (fractional):
Pr 0.000 0.000 0.000 (multiplicity 2)
Pr 0.000 0.142 0.500 (multiplicity 4)
Pr 0.000 0.362 0.000 (multiplicity 4)
Ho 0.000 0.500 0.500 (multiplicity 2)
Er 0.156 0.178 0.000 (multiplicity 8)
Er 0.158 0.323 0.500 (multiplicity 8)
Er 0.197 0.500 0.998 (multiplicity 4)
Er 0.200 0.000 0.502 (multiplicity 4)

Output
DOS(E_F) = 1.545 states/eV/atom
Calculated formation energy = 0.092 eV/atom
Calculated volume = 1157.7 Å³ per cell
Crystal system = monoclinic

***

# Pr8HoEr2

Pr8HoEr2 after structural relaxation (GGA-PBE, Alexandria via LeMat-Bulk).

Lattice parameters (Å, degrees): 16.993 6.860 6.735 90.00 100.23 90.00
Space group C2/m (No. 12)
Symmetry-distinct sites (fractional):
Pr 0.086 0.239 0.405 (multiplicity 8)
Pr 0.097 0.000 0.918 (multiplicity 4)
Pr 0.245 0.500 0.324 (multiplicity 4)
Ho 0.000 0.500 0.000 (multiplicity 2)
Er 0.194 0.500 0.810 (multiplicity 4)

Output
DOS(E_F) = 1.616 states/eV/atom
Calculated formation energy = 0.169 eV/atom
Calculated volume = 772.6 Å³ per cell
Energy above the most stable polymorph in this dataset = 14.9 meV per atom
Crystal system = monoclinic

***

# Pr2Ho3Er5

Pr2Ho3Er5 after structural relaxation (GGA-PBE, Alexandria via LeMat-Bulk).

Lattice parameters (Å, degrees): 10.556 15.917 9.364 90.00 124.12 90.00
Space group C2/c (No. 15)
Symmetry-distinct sites (fractional):
Pr 0.142 0.128 0.046 (multiplicity 8)
Ho 0.000 0.022 0.250 (multiplicity 4)
Ho 0.157 0.378 0.550 (multiplicity 8)
Er 0.000 0.231 0.250 (multiplicity 4)
Er 0.000 0.274 0.750 (multiplicity 4)
Er 0.000 0.473 0.750 (multiplicity 4)
Er 0.232 0.380 0.221 (multiplicity 8)

Output
DOS(E_F) = 1.713 states/eV/atom
Calculated formation energy = 0.195 eV/atom
Calculated volume = 1302.5 Å³ per cell
Energy above the most stable polymorph in this dataset = 0.0 meV per atom
Crystal system = monoclinic

***

# PrHoEr2

PrHoEr2 after structural relaxation (GGA-PBE, Alexandria via LeMat-Bulk).

Lattice parameters (Å, degrees): 5.043 5.043 5.029 90.00 90.00 90.00
Space group P4/mmm (No. 123)
Symmetry-distinct sites (fractional):
Pr 0.000 0.000 0.000 (multiplicity 1)
Ho 0.500 0.500 0.000 (multiplicity 1)
Er 0.000 0.500 0.500 (multiplicity 2)

Output
DOS(E_F) = 1.459 states/eV/atom
Calculated formation energy = 0.026 eV/atom
Calculated volume = 127.9 Å³ per cell
Energy above the most stable polymorph in this dataset = 9.5 meV per atom
Crystal system = tetragonal

***

# PrHo4Er2

PrHo4Er2 after structural relaxation (GGA-PBE, Alexandria via LeMat-Bulk).

Lattice parameters (Å, degrees): 16.574 3.518 8.714 90.00 119.22 90.00
Space group C2/m (No. 12)
Symmetry-distinct sites (fractional):
Pr 0.000 0.000 0.000 (multiplicity 2)
Ho 0.141 0.500 0.831 (multiplicity 4)
Ho 0.206 0.500 0.295 (multiplicity 4)
Er 0.071 0.000 0.431 (multiplicity 4)

Output
DOS(E_F) = 1.454 states/eV/atom
Calculated formation energy = 0.034 eV/atom
Calculated volume = 443.5 Å³ per cell
Crystal system = monoclinic

***

# PrHo6Er2

PrHo6Er2 after structural relaxation (GGA-PBE, Alexandria via LeMat-Bulk).

Lattice parameters (Å, degrees): 5.594 29.002 3.478 90.00 90.00 90.00
Space group Cmmm (No. 65)
Symmetry-distinct sites (fractional):
Pr 0.000 0.000 0.000 (multiplicity 2)
Ho 0.000 0.113 0.500 (multiplicity 4)
Ho 0.000 0.223 0.500 (multiplicity 4)
Ho 0.000 0.443 0.500 (multiplicity 4)
Er 0.000 0.333 0.000 (multiplicity 4)

Output
DOS(E_F) = 1.634 states/eV/atom
Calculated formation energy = 0.071 eV/atom
Calculated volume = 564.2 Å³ per cell
Energy above the most stable polymorph in this dataset = 0.0 meV per atom
Crystal system = orthorhombic

***

# Pr12Ho2Er5

Pr12Ho2Er5 after structural relaxation (GGA-PBE, Alexandria via LeMat-Bulk).

Lattice parameters (Å, degrees): 15.101 10.748 8.175 90.00 94.55 90.00
Space group C2/m (No. 12)
Symmetry-distinct sites (fractional):
Pr 0.057 0.000 0.215 (multiplicity 4)
Pr 0.107 0.229 0.884 (multiplicity 8)
Pr 0.129 0.500 0.605 (multiplicity 4)
Pr 0.183 0.278 0.292 (multiplicity 8)
Ho 0.000 0.226 0.500 (multiplicity 4)
Er 0.000 0.500 0.000 (multiplicity 2)
Er 0.156 0.000 0.601 (multiplicity 4)
Er 0.241 0.500 0.990 (multiplicity 4)

Output
DOS(E_F) = 1.425 states/eV/atom
Calculated formation energy = 0.129 eV/atom
Calculated volume = 1322.7 Å³ per cell
Crystal system = monoclinic

***

# Pr6Ho8Er

Pr6Ho8Er after structural relaxation (GGA-PBE, Alexandria via LeMat-Bulk).

Lattice parameters (Å, degrees): 9.1183 9.1183 20.9725 90.00 90.00 120.00
Space group R-3 (No. 148, hexagonal axes)
Symmetry-distinct sites (fractional):
Pr 0.0603 0.8113 0.2111 (multiplicity 18)
Ho 0.0000 0.0000 0.0768 (multiplicity 6)
Ho 0.0809 0.5222 0.3067 (multiplicity 18)
Er 0.0000 0.0000 0.5000 (multiplicity 3)

Output
DOS(E_F) = 1.468 states/eV/atom
Calculated formation energy = 0.118 eV/atom
Calculated volume = 1510.1 Å³ per cell
Crystal system = trigonal

***

# Pr2Ho6Er3

Pr2Ho6Er3 after structural relaxation (GGA-PBE, Alexandria via LeMat-Bulk).

Lattice parameters (Å, degrees): 4.723 4.723 33.196 90.00 90.00 90.00
Space group I4/mmm (No. 139)
Symmetry-distinct sites (fractional):
Pr 0.000 0.000 0.046 (multiplicity 4)
Ho 0.000 0.000 0.196 (multiplicity 4)
Ho 0.000 0.500 0.123 (multiplicity 8)
Er 0.000 0.000 0.299 (multiplicity 4)
Er 0.000 0.000 0.500 (multiplicity 2)

Output
DOS(E_F) = 1.472 states/eV/atom
Calculated formation energy = 0.273 eV/atom
Calculated volume = 740.5 Å³ per cell
Energy above the most stable polymorph in this dataset = 90.8 meV per atom
Crystal system = tetragonal

***

M_tot, record by record: 0.000, 0.000, 0.000, 0.001, 0.000, 0.000, 0.000, 0.000, 0.000, 0.014, 0.006, 0.000, 0.000, 0.000, 0.000, 0.003, 0.000, 0.034, 0.000 μB per cell